# TcMoW6 PBE relaxed
data_TcMoW6
_symmetry_space_group_name_H-M 'C m m m'
_symmetry_Int_Tables_number 65
_symmetry_space_group_name_Hall '-C 2 2'
_cell_length_a 6.3243
_cell_length_b 8.9745
_cell_length_c 4.4922
_cell_angle_alpha 90.00
_cell_angle_beta 90.00
_cell_angle_gamma 90.00
loop_
_atom_site_label
_atom_site_fract_x
_atom_site_fract_y
_atom_site_fract_z
Tc1 0.0000 0.0000 0.0000
Mo1 0.0000 0.5000 0.0000
W1 0.0000 0.2489 0.5000
W2 0.2489 0.5000 0.5000
W3 0.2500 0.2500 0.0000
# Fermi-level density of states = 11.20 states/eV per cell
# energy of formation = 0.021 eV/atom